*A*
## YZr2Al6 (PBE)

Data for crystalline YZr2Al6 at its relaxed geometry.

The calculated volume comes out at 19.0 Å³/atom. Its crystal system is hexagonal.

a = 7.7616 Å, b = 7.7616 Å, c = 3.2773 Å
α = 90.00°, β = 90.00°, γ = 120.00°
Space group P6/mmm (No. 191)
One atom of each set of equivalent atoms:
Y: 0.0000 0.0000 0.0000
Zr: 0.3333 0.6667 0.0000
Al: 0.0000 0.3364 0.5000

---

*B*
## YZr2Al6 (PBE)

Data for crystalline YZr2Al6 at its relaxed geometry.

The calculated volume comes out at 21.2 Å³/atom. Its crystal system is orthorhombic.

a = 4.243 Å, b = 6.810 Å, c = 13.178 Å
α = 90.00°, β = 90.00°, γ = 90.00°
Space group Immm (No. 71)
One atom of each set of equivalent atoms:
Y: 0.000 0.000 0.000
Zr: 0.000 0.500 0.117
Al: 0.000 0.187 0.500
Al: 0.000 0.294 0.310

---

Which of them is most stable, and which least? Most stable: *A*; least stable: *B*.

---

*A*
## YZrAl (PBE)

Data for crystalline YZrAl at its relaxed geometry.

The calculated volume comes out at 26.7 Å³/atom. Its crystal system is cubic.

a = 6.843 Å, b = 6.843 Å, c = 6.843 Å
α = 90.00°, β = 90.00°, γ = 90.00°
Space group F-43m (No. 216)
One atom of each set of equivalent atoms:
Y: 0.000 0.000 0.000
Zr: 0.000 0.000 0.500
Al: 0.250 0.250 0.250

---

*B*
## YZrAl (PBE)

Data for crystalline YZrAl at its relaxed geometry.

The calculated volume comes out at 23.3 Å³/atom. Its crystal system is orthorhombic.

a = 3.306 Å, b = 4.092 Å, c = 10.343 Å
α = 90.00°, β = 90.00°, γ = 90.00°
Space group Imm2 (No. 44)
One atom of each set of equivalent atoms:
Y: 0.000 0.000 0.000
Zr: 0.000 0.000 0.307
Al: 0.000 0.000 0.672

---

Which of them is most stable, and which least? Most stable: *B*; least stable: *A*.